# 1
LaDyPt | PBE-GGA | relaxed

Cell: 4.8387 4.8387 7.1342 Å, 90.04 90.05 90.00°
Closest atoms and distances in Å follow each position.
Positions (direct):
Pt  0.8141  0.8668  0.1380  1 La 2.83, 4 Dy 2.88
Pt  0.3131  0.3660  0.7012  1 La 2.83, 4 Dy 2.88
La  0.3135  0.3665  0.3048  1 Pt 2.83
La  0.8136  0.8666  0.5344  1 Pt 2.83
Dy  0.3137  0.8664  0.9196  4 Pt 2.88
Dy  0.8135  0.3665  0.9196  4 Pt 2.88

Output
Formation energy (eV per atom): -0.871
Symmetry: No. 129
Crystal system: tetragonal
Energy above the most stable polymorph in this dataset (eV per atom): 0.000
Raw total energy (eV per atom): -6.061



# 2
Mn3Nb | PBE-GGA | relaxed

Cell: 4.1990 4.1990 6.6644 Å, 71.65 71.65 90.03°
Closest atoms and distances in Å follow each position.
Positions (direct):
Mn  0.8796  0.8795  0.2409  8 Mn 2.54-2.61
Mn  0.2500  0.7500  0.5000  4 Nb 2.55, 4 Mn 2.61
Mn  0.7500  0.2500  0.5000  4 Nb 2.55, 4 Mn 2.61
Mn  0.0000  0.5000  0.0000  4 Mn 2.54, 4 Nb 2.60
Mn  0.1204  0.1204  0.7591  8 Mn 2.54-2.61
Mn  0.5000  0.0000  0.0000  4 Mn 2.54, 4 Nb 2.60
Nb  0.6289  0.6289  0.7421  8 Mn 2.55-2.60
Nb  0.3711  0.3710  0.2579  8 Mn 2.55-2.60

Output
Formation energy (eV per atom): 0.065
Symmetry: No. 139
Crystal system: tetragonal
Raw total energy (eV per atom): -9.330



# 3
Sc4TlBiC | PBE-GGA | relaxed

Cell: 6.3647 6.3651 8.1970 Å, 90.00 112.84 90.00°
Closest atoms and distances in Å follow each position.
Positions (direct):
Sc  0.3998  0.7500  0.7996  1 C 2.27
Sc  0.9050  0.2500  0.8101  1 C 2.33
Sc  0.0000  0.5000  0.5000  2 C 2.25
Sc  0.6002  0.2500  0.2004  1 C 2.27
Sc  0.0000  0.0000  0.5000  2 C 2.25
Sc  0.0950  0.7500  0.1899  1 C 2.33
Sc  0.5000  0.5000  0.5000  2 C 2.25
Sc  0.5000  0.0000  0.5000  2 C 2.25
C  0.2492  0.7500  0.4985  6 Sc 2.25-2.33
C  0.7508  0.2500  0.5015  6 Sc 2.25-2.33
Bi  0.3967  0.2500  0.7934  9 Sc 3.07-3.18
Bi  0.6033  0.7500  0.2066  9 Sc 3.07-3.18
Tl  0.1074  0.2500  0.2147  9 Sc 3.06-3.19
Tl  0.8926  0.7500  0.7853  9 Sc 3.06-3.19

Output
Formation energy (eV per atom): -0.603
Symmetry: No. 63
Crystal system: orthorhombic
Raw total energy (eV per atom): -6.432



# 4
Ru2PtBr | PBE-GGA | relaxed

Cell: 4.7903 4.7903 4.7903 Å, 129.81 129.81 73.72°
Closest atoms and distances in Å follow each position.
Positions (direct):
Ru  0.0000  0.0000  0.0000  4 Pt 2.79, 4 Ru 2.79, 4 Br 2.87
Ru  0.2500  0.7500  0.5000  4 Br 2.79, 4 Ru 2.79, 4 Pt 2.87
Pt  0.7500  0.2500  0.5000  8 Ru 2.79-2.87, 4 Br 2.79
Br  0.5000  0.5000  0.0000  8 Ru 2.79-2.87, 4 Pt 2.79

Output
Symmetry: No. 119
Crystal system: tetragonal
E_form (uncorrected) (eV/atom): 0.9202
Energy above the most stable polymorph in this dataset (eV per atom): 0.478
Raw total energy (eV per atom): -5.646



# 5
Ca3MnPb | PBE-GGA | relaxed

Cell: 5.9766 5.9766 5.9766 Å, 90.00 90.00 90.00°
Closest atoms and distances in Å follow each position.
Positions (direct):
Ca  0.5000  0.0000  0.0000  2 Pb 2.99
Ca  0.0000  0.0000  0.5000  2 Pb 2.99
Ca  0.0000  0.5000  0.0000  2 Pb 2.99
Mn  0.5000  0.5000  0.5000  12 Ca 4.23
Pb  0.0000  0.0000  0.0000  6 Ca 2.99

Output
Formation energy (eV per atom): 0.406
Symmetry: No. 221
Crystal system: cubic
Energy above the most stable polymorph in this dataset (eV per atom): 0.092
Raw total energy (eV per atom): -3.371



# 6
Y6SbP3S2 | PBE-GGA | relaxed

Cell: 4.0463 8.1392 9.0755 Å, 103.32 102.88 90.00°
Closest atoms and distances in Å follow each position.
Positions (direct):
Y  0.3348  0.4109  0.6697  3 P 2.82-2.84, 3 S 2.84-2.89
Y  0.6652  0.5891  0.3303  3 P 2.82-2.84, 3 S 2.84-2.89
Y  0.3261  0.9193  0.6522  3 P 2.75-2.85, 2 S 2.93, 1 Sb 2.99
Y  0.6739  0.0807  0.3478  3 P 2.75-2.85, 2 S 2.93, 1 Sb 2.99
Y  0.9992  0.2680  0.9983  3 P 2.77-2.84, 1 S 2.93, 2 Sb 2.98
Y  0.0008  0.7320  0.0017  3 P 2.77-2.84, 1 S 2.93, 2 Sb 2.98
Sb  0.5000  0.0000  0.0000  6 Y 2.98-2.99
S  0.8305  0.6621  0.6609  6 Y 2.84-2.93
S  0.1695  0.3379  0.3391  6 Y 2.84-2.93
P  0.1659  0.8307  0.3319  6 Y 2.75-2.85
P  0.5000  0.5000  0.0000  6 Y 2.77-2.84
P  0.8341  0.1693  0.6681  6 Y 2.75-2.85

Output
Symmetry: No. 12
Crystal system: monoclinic
E_form (uncorrected) (eV/atom): -1.6933
Raw total energy (eV per atom): -7.309



# 7
MnMo2Ru | PBE-GGA | relaxed

Cell: 4.6958 4.6958 2.7845 Å, 90.00 90.00 108.90°
Closest atoms and distances in Å follow each position.
Positions (direct):
Mo  0.0000  0.0000  0.0000  4 Mn 2.73, 4 Ru 2.73, 4 Mo 2.73-2.78
Mo  0.5000  0.5000  0.0000  4 Ru 2.73, 4 Mn 2.73, 4 Mo 2.73-2.78
Mn  0.0000  0.5000  0.5000  8 Mo 2.73, 2 Ru 2.73, 2 Mn 2.78
Ru  0.5000  0.0000  0.5000  8 Mo 2.73, 2 Mn 2.73, 2 Ru 2.78

Output
Formation energy (eV per atom): 0.143
Symmetry: No. 65
Crystal system: orthorhombic
Energy above the most stable polymorph in this dataset (eV per atom): 0.075
Raw total energy (eV per atom): -9.884



# 8
Sr2Ir2Cl | PBE-GGA | relaxed

Cell: 5.8850 5.8850 5.6717 Å, 58.75 58.75 90.00°
Closest atoms and distances in Å follow each position.
Positions (direct):
Ir  0.3431  0.3431  0.3139  1 Ir 2.42, 1 Cl 2.64
Ir  0.6569  0.6569  0.6861  1 Ir 2.42, 1 Cl 2.64
Sr  0.7500  0.2500  0.5000  4 Ir 3.03
Sr  0.2500  0.7500  0.5000  4 Ir 3.03
Cl  0.0000  0.0000  0.0000  2 Ir 2.64

Output
Symmetry: No. 139
Crystal system: tetragonal
E_form (uncorrected) (eV/atom): -0.1714
Energy above the most stable polymorph in this dataset (eV per atom): 0.000
Raw total energy (eV per atom): -4.758